The following is a PBE-GGA calculation of an optimized crystal structure of BeSi2Tc2, from the Alexandria database.

Summary:
electronic total energy = -0.534 Ry/atom
total magnetic moment = 0.000 μB/atom
excess energy over the best structure of this formula in the dataset = 0.061 eV per atom
crystal system = tetragonal
raw formation energy = -201 meV/atom

The structure in CIF format:
```
data_BeSi2Tc2
_symmetry_space_group_name_H-M 'P 1'
_symmetry_Int_Tables_number 1
_cell_length_a 6.562
_cell_length_b 6.562
_cell_length_c 3.053
_cell_angle_alpha 90.00
_cell_angle_beta 90.00
_cell_angle_gamma 90.00
loop_
_symmetry_equiv_pos_as_xyz
'x,y,z'
loop_
_atom_site_label
_atom_site_type_symbol
_atom_site_fract_x
_atom_site_fract_y
_atom_site_fract_z
Be1 Be 0.000 0.000 0.000
Be2 Be 0.500 0.500 0.000
Si1 Si 0.137 0.363 0.000
Si2 Si 0.363 0.863 0.000
Si3 Si 0.637 0.137 0.000
Si4 Si 0.863 0.637 0.000
Tc1 Tc 0.160 0.660 0.500
Tc2 Tc 0.340 0.160 0.500
Tc3 Tc 0.660 0.840 0.500
Tc4 Tc 0.840 0.340 0.500
```